1.
VASP calculation (PBE) on a relaxed structure of NaSeCl4.

abc: 7.1363 7.1363 7.3101
angles: 90.00 90.00 90.00
Last column: nearest neighbours and their distance in Å.
Space group I-4 (No. 82)
Symmetry-distinct sites (fractional):
Na 0.0000 0.0000 0.0000 (multiplicity 2)  8 Cl 3.11-3.13
Se 0.0000 0.5000 0.7500 (multiplicity 2)  4 Cl 2.38
Cl 0.2349 0.2623 0.7497 (multiplicity 8)  1 Se 2.38

Computed properties:
The final energy is -32.86 eV for the cell shown. As for the relative energy among the computed polymorphs: 0.00 kcal/mol of atoms. Its raw formation energy is -706 meV per atom.

***

2.
VASP calculation (PBE) on a relaxed structure of Y2CuSe.

abc: 7.1037 7.1037 7.1037
angles: 90.00 90.00 90.00
Last column: nearest neighbours and their distance in Å.
Space group F-43m (No. 216)
Symmetry-distinct sites (fractional):
Y 0.0000 0.0000 0.0000 (multiplicity 4)  4 Cu 3.08, 4 Y 3.08
Y 0.2500 0.2500 0.2500 (multiplicity 4)  4 Se 3.08, 4 Y 3.08
Cu 0.2500 0.2500 0.7500 (multiplicity 4)  4 Se 3.08, 4 Y 3.08
Se 0.0000 0.0000 0.5000 (multiplicity 4)  4 Y 3.08, 4 Cu 3.08

Computed properties:
The final energy is -81.05 eV for the cell shown. As for the relative energy among the computed polymorphs: 25.05 kcal/mol of atoms. Its raw formation energy is 61 meV per atom.

***

3.
VASP calculation (PBE) on a relaxed structure of ScTaO4.

abc: 5.1908 4.8165 5.7484
angles: 90.00 90.00 90.00
Last column: nearest neighbours and their distance in Å.
Space group Pnc2 (No. 30)
Symmetry-distinct sites (fractional):
Sc 0.0000 0.0000 0.0000 (multiplicity 2)  6 O 2.09-2.16
Ta 0.5000 0.0000 0.3504 (multiplicity 2)  4 O 1.93-1.96
O 0.1848 0.2114 0.2856 (multiplicity 4)  1 Ta 1.96, 2 Sc 2.09-2.16
O 0.3432 0.7370 0.5602 (multiplicity 4)  1 Ta 1.93, 1 Sc 2.14

Computed properties:
The final energy is -114.10 eV for the cell shown. Its raw formation energy is -3173 meV per atom.

***

4.
VASP calculation (PBE) on a relaxed structure of Li2ZrFe.

abc: 2.6928 4.7385 5.0622
angles: 90.00 90.00 90.00
Last column: nearest neighbours and their distance in Å.
Space group Pmmm (No. 47)
Symmetry-distinct sites (fractional):
Li 0.0000 0.0000 0.2253 (multiplicity 2)  1 Li 2.28
Zr 0.5000 0.5000 0.5000 (multiplicity 1)  2 Fe 2.53, 2 Zr 2.69
Fe 0.5000 0.5000 0.0000 (multiplicity 1)  2 Zr 2.53, 2 Fe 2.69

Computed properties:
The final energy is -19.43 eV for the cell shown. As for the formation energy from the elements: 0.353 eV/atom. As for the relative energy among the computed polymorphs: 4.10 kcal/mol of atoms.

***

5.
VASP calculation (PBE) on a relaxed structure of NdTmCuHg.

abc: 7.3047 7.3047 7.3047
angles: 90.00 90.00 90.00
Last column: nearest neighbours and their distance in Å.
Space group F-43m (No. 216)
Symmetry-distinct sites (fractional):
Nd 0.0000 0.0000 0.0000 (multiplicity 4)  4 Cu 3.16, 4 Hg 3.16
Tm 0.0000 0.0000 0.5000 (multiplicity 4)  4 Hg 3.16, 4 Cu 3.16
Cu 0.2500 0.2500 0.2500 (multiplicity 4)  4 Tm 3.16, 4 Nd 3.16
Hg 0.2500 0.2500 0.7500 (multiplicity 4)  4 Nd 3.16, 4 Tm 3.16

Computed properties:
The final energy is -59.37 eV for the cell shown. As for the formation energy from the elements: -0.301 eV/atom.

***

6.
VASP calculation (PBE) on a relaxed structure of La2ZnBr2.

abc: 4.5707 4.5707 15.1774
angles: 90.00 90.00 90.00
Last column: nearest neighbours and their distance in Å.
Space group I4/mmm (No. 139)
Symmetry-distinct sites (fractional):
La 0.0000 0.0000 0.1128 (multiplicity 4)  4 Br 3.09, 1 La 3.42
Zn 0.0000 0.0000 0.5000 (multiplicity 2)  8 La 3.66
Br 0.0000 0.5000 0.2500 (multiplicity 4)  4 La 3.09, 4 Br 3.23

Computed properties:
The final energy is -36.99 eV for the cell shown. As for the relative energy among the computed polymorphs: 1.01 kcal/mol of atoms. Its raw formation energy is -804 meV per atom.

***

7.
VASP calculation (PBE) on a relaxed structure of LaCoHg2.

abc: 5.0440 5.0440 7.1720
angles: 90.00 90.00 90.00
Last column: nearest neighbours and their distance in Å.
Space group I-4m2 (No. 119)
Symmetry-distinct sites (fractional):
La 0.0000 0.0000 0.0000 (multiplicity 2)  4 Hg 3.09, 4 Co 3.09
Co 0.0000 0.5000 0.7500 (multiplicity 2)  4 Hg 3.09, 4 La 3.09
Hg 0.0000 0.0000 0.5000 (multiplicity 2)  4 Hg 3.09, 4 Co 3.09
Hg 0.0000 0.5000 0.2500 (multiplicity 2)  4 Hg 3.09, 4 La 3.09

Computed properties:
The final energy is -24.98 eV for the cell shown. As for the formation energy from the elements: 0.037 eV/atom.